Compound: PmDy3Tl3
Source: Alexandria via LeMat-Bulk
Functional: GGA-PBE
Structure: optimized geometry

```
PmDy3Tl3
1.0
-0.7763 6.2943 -6.9277
-0.5560 -6.9702 -6.2706
-9.3436 -0.1082 0.9488
Pm Dy Tl
4 12 12
direct
0.0717 0.5717 0.9283
0.9283 0.0717 0.5717
0.4283 0.4283 0.4283
0.5717 0.9283 0.0717
0.8221 0.3221 0.1779
0.9214 0.9214 0.9214
0.8213 0.6787 0.3213
0.1779 0.8221 0.3221
0.1787 0.1787 0.1787
0.3213 0.8213 0.6787
0.0786 0.4214 0.5786
0.3221 0.1779 0.8221
0.6787 0.3213 0.8213
0.6779 0.6779 0.6779
0.5786 0.0786 0.4214
0.4214 0.5786 0.0786
0.7441 0.6186 0.0004
0.8814 0.9996 0.2441
0.0004 0.7441 0.6186
0.1186 0.4996 0.2559
0.2559 0.1186 0.4996
0.2441 0.8814 0.9996
0.9996 0.2441 0.8814
0.3814 0.5004 0.7559
0.4996 0.2559 0.1186
0.6186 0.0004 0.7441
0.7559 0.3814 0.5004
0.5004 0.7559 0.3814
```

calculated volume = 828.53 Å³ per cell
formation energy from the elements = -173 kJ/mol of formula units
electronic total energy = -109.79 eV per cell
total magnetic moment = 0.000 μB/f.u.